{"formula": "YP2ClO", "functional": "GGA-PBE", "state": "optimized geometry", "e_form_raw_ev_per_fu": -3.11, "sg": "P4/mmm, No. 123", "final_energy_ev_per_atom": -5.441, "relative_energy_mev_per_atom": 0, "m_tot_mub_per_fu": 0.0, "cell": [[3.9333, 0.0000, 0.0000], [0.0000, 3.9333, 0.0000], [0.0000, 0.0000, 5.4588]], "species": ["Y", "P", "P", "Cl", "O"], "frac_coords": [[0.0000, 0.0000, 0.0000], [0.0000, 0.5000, 0.5000], [0.5000, 0.0000, 0.5000], [0.5000, 0.5000, 0.0000], [0.5000, 0.5000, 0.5000]]}